Run a
Computed, not measured: a crystal of TcMo2W relaxed with PBEsol at the SCAN level of DFT.

Results
SG	P4/mmm, No. 123
D(E_F)	4.2	states/eV/f.u.

Lattice parameters (Å, degrees): 3.9118 3.9118 3.9767 90.00 90.00 90.00
Fractional positions:
Tc  0.5000  0.5000  0.5000
W  0.0000  0.0000  0.5000
Mo  0.0000  0.5000  0.0000
Mo  0.5000  0.0000  0.0000



Run b
Computed, not measured: a crystal of TcMo2W relaxed with PBEsol at the SCAN level of DFT.

Results
SG	P4mm, No. 99
D(E_F)	2.8	states/eV/f.u.

Lattice parameters (Å, degrees): 3.1115 3.1115 6.2420 90.00 90.00 90.00
Fractional positions:
Mo  0.0000  0.0000  0.0035
Mo  0.5000  0.5000  0.2423
Tc  0.0000  0.0000  0.5062
W  0.5000  0.5000  0.7480



Stability, lowest: run a



Run a
Computed, not measured: a crystal of TlCuBr2 relaxed with PBEsol at the SCAN level of DFT.

Results
SG	Fm-3m, No. 225

Lattice parameters (Å, degrees): 5.1273 5.1273 5.1273 60.00 60.00 60.00
Fractional positions:
Tl  0.0000  0.0000  0.0000
Br  0.2500  0.2500  0.2500
Br  0.7500  0.7500  0.7500
Cu  0.5000  0.5000  0.5000



Run b
Computed, not measured: a crystal of TlCuBr2 relaxed with PBEsol at the SCAN level of DFT.

Results
SG	I-42d, No. 122

Lattice parameters (Å, degrees): 6.4799 6.4799 6.4799 110.38 109.02 109.02
Fractional positions:
Br  0.4132  0.8750  0.7882
Br  0.0868  0.2118  0.6250
Br  0.5868  0.3750  0.4618
Br  0.9132  0.5382  0.1250
Tl  0.5000  0.7500  0.2500
Tl  0.0000  0.0000  0.0000
Cu  0.5000  0.2500  0.7500
Cu  0.0000  0.5000  0.5000



Stability, lowest: run a



Run a
Computed, not measured: a crystal of IrSe2Br relaxed with PBEsol at the SCAN level of DFT.

Results
SG	Cm, No. 8
D(E_F)	1.2	states/eV/f.u.

Lattice parameters (Å, degrees): 3.4859 4.8061 6.5436 72.40 74.55 68.74
Fractional positions:
Br  0.5858  0.3871  0.4413
Ir  0.2137  0.4338  0.1388
Se  0.7402  0.6450  0.8746
Se  0.9603  0.0341  0.0453



Run b
Computed, not measured: a crystal of IrSe2Br relaxed with PBEsol at the SCAN level of DFT.

Results
SG	C2/m, No. 12
D(E_F)	0.0	states/eV/f.u.

Lattice parameters (Å, degrees): 3.8075 3.8081 7.7968 103.96 90.00 119.99
Fractional positions:
Ir  0.5000  0.0000  0.5000
Se  0.1156  0.2313  0.3450
Se  0.8844  0.7687  0.6550
Br  0.0000  0.0000  0.0000



Stability, lowest: run a



Run a
Computed, not measured: a crystal of BaSr relaxed with PBEsol at the SCAN level of DFT.

Results
SG	Fd-3m, No. 227
D(E_F)	3.1	states/eV/f.u.

Lattice parameters (Å, degrees): 6.7617 6.7617 6.7617 60.00 60.00 60.00
Fractional positions:
Ba  0.5000  0.5000  0.5000
Ba  0.7500  0.7500  0.7500
Sr  0.0000  0.0000  0.0000
Sr  0.2500  0.2500  0.2500



Run b
Computed, not measured: a crystal of BaSr relaxed with PBEsol at the SCAN level of DFT.

Results
SG	I4_1/amd, No. 141
D(E_F)	2.2	states/eV/f.u.

Lattice parameters (Å, degrees): 6.0506 6.0506 7.4188 114.07 114.07 90.00
Fractional positions:
Ba  0.2500  0.7500  0.5000
Ba  0.0000  0.0000  0.0000
Sr  0.5000  0.5000  0.0000
Sr  0.7500  0.2500  0.5000



Stability, lowest: run b